1.
Entry from Alexandria: a relaxed La2HoSnC crystal (GGA-PBE).

a = 4.921 Å, b = 5.212 Å, c = 5.212 Å
α = 90.00°, β = 90.00°, γ = 90.00°
Atoms (fractional coordinates):
La  0.000  0.000  0.500
La  0.000  0.500  0.000
C  0.000  0.000  0.000
Sn  0.500  0.500  0.500
Ho  0.500  0.000  0.000

Computed properties:
Energy of formation: -509 meV per atom
Space group: No. 123
Total magnetization: 0.0 μB per formula unit


2.
Entry from Alexandria: a relaxed La2HoTlC crystal (GGA-PBE).

a = 4.943 Å, b = 5.240 Å, c = 5.240 Å
α = 90.00°, β = 90.00°, γ = 90.00°
Atoms (fractional coordinates):
La  0.000  0.500  0.000
La  0.000  0.000  0.500
Ho  0.500  0.000  0.000
C  0.000  0.000  0.000
Tl  0.500  0.500  0.500

Computed properties:
Energy of formation: -324 meV per atom
Space group: No. 123
Total magnetization: 0.0 μB per formula unit


3.
Entry from Alexandria: a relaxed LaHo2TlC crystal (GGA-PBE).

a = 5.178 Å, b = 4.947 Å, c = 4.947 Å
α = 90.00°, β = 90.00°, γ = 90.00°
Atoms (fractional coordinates):
Tl  0.500  0.500  0.500
La  0.500  0.000  0.000
Ho  0.000  0.500  0.000
Ho  0.000  0.000  0.500
C  0.000  0.000  0.000

Computed properties:
Energy of formation: -373 meV per atom
Space group: No. 123
Total magnetization: 0.0 μB per formula unit


4.
Entry from Alexandria: a relaxed LiHoC crystal (GGA-PBE).

a = 3.535 Å, b = 3.535 Å, c = 10.039 Å
α = 100.14°, β = 100.14°, γ = 90.00°
Atoms (fractional coordinates):
Li  0.577  0.577  0.153
Li  0.423  0.423  0.847
Ho  0.188  0.188  0.377
Ho  0.812  0.812  0.623
C  0.316  0.316  0.632
C  0.684  0.684  0.368

Computed properties:
Energy of formation: 50 meV per atom
Space group: No. 139
Total magnetization: 0.0 μB per formula unit
Energy above the lowest structure with this stoichiometry: 201 meV per atom